# CoMo2Pd

A relaxed CoMo2Pd crystal (PBE-GGA, Alexandria).

Cell: 4.370 4.370 4.370 Å, 60.00 60.00 60.00°
Sites, in units of the cell vectors:
1 Co 0.000 0.000 0.000
2 Mo 0.750 0.750 0.750
3 Mo 0.250 0.250 0.250
4 Pd 0.500 0.500 0.500

Properties
- Electronic total energy: -32.251 eV/cell
- Offset from the most stable computed form: 15 meV per atom

=====

# CoMoPd3

A relaxed CoMoPd3 crystal (PBE-GGA, Alexandria).

Cell: 4.538 4.538 4.538 Å, 90.00 90.00 90.00°
Sites, in units of the cell vectors:
1 Pd 0.000 0.500 0.000
2 Pd 0.000 0.000 0.500
3 Pd 0.500 0.000 0.000
4 Mo 0.500 0.500 0.500
5 Co 0.000 0.000 0.000

Properties
- Electronic total energy: -27.890 eV/cell
- Offset from the most stable computed form: 0 meV per atom